Here is a relaxed NiPdS2Cl crystal from the Alexandria database. Energies are from PBE.

a = 4.4672 Å, b = 4.4672 Å, c = 4.5364 Å
α = 90.00°, β = 90.00°, γ = 90.00°
Closest atoms and distances in Å follow each position.
Space group P4/mmm (No. 123)
Symmetry-distinct sites (fractional):
Ni  0.0000  0.0000  0.0000 (multiplicity 1)  4 S 2.23, 2 Cl 2.27
Pd  0.5000  0.5000  0.5000 (multiplicity 1)  4 Cl 3.16, 8 S 3.18
S  0.0000  0.5000  0.0000 (multiplicity 2)  2 Ni 2.23
Cl  0.0000  0.0000  0.5000 (multiplicity 1)  2 Ni 2.27

Properties
excess energy over the best structure of this formula in the dataset	0.0000	eV per atom
raw formation energy	2.3	eV per formula unit

Here is a relaxed Sm4Y8Ho3 crystal from the Alexandria database. Energies are from PBE.

a = 6.9802 Å, b = 6.9802 Å, c = 35.4118 Å
α = 90.00°, β = 90.00°, γ = 120.00°
Closest atoms and distances in Å follow each position.
Space group R-3m (No. 166, hexagonal axes)
Symmetry-distinct sites (fractional):
Sm  0.0000  0.0000  0.0000 (multiplicity 3)  6 Ho 3.49, 6 Y 3.56
Sm  0.0000  0.0000  0.1637 (multiplicity 6)  4 Y 3.23-3.51
Sm  0.0000  0.0000  0.5000 (multiplicity 3)  6 Y 3.59
Y  0.0000  0.0000  0.2550 (multiplicity 6)  1 Sm 3.23, 3 Ho 3.43, 6 Y 3.49
Y  0.0015  0.5008  0.2507 (multiplicity 18)  6 Y 3.47-3.51, 3 Sm 3.51-3.59, 2 Ho 3.55
Ho  0.0000  0.5000  0.0000 (multiplicity 9)  6 Y 3.43-3.55, 4 Ho 3.49, 2 Sm 3.49

Properties
calculated formation energy	2.0	eV per formula unit
excess energy over the best structure of this formula in the dataset	0.0000	eV per atom

Here is a relaxed Na2YI5 crystal from the Alexandria database. Energies are from PBE.

a = 6.1775 Å, b = 15.6080 Å, c = 15.3125 Å
α = 90.00°, β = 90.00°, γ = 90.00°
Closest atoms and distances in Å follow each position.
Space group Cmcm (No. 63)
Symmetry-distinct sites (fractional):
Na  0.0000  0.1549  0.0560 (multiplicity 8)  5 I 3.15-3.43
Y  0.0000  0.1886  0.7500 (multiplicity 4)  6 I 2.96-3.13
I  0.0000  0.0488  0.6194 (multiplicity 8)  1 Y 2.96, 1 Na 3.15
I  0.0000  0.2801  0.2500 (multiplicity 4)  2 Y 3.13
I  0.0000  0.3166  0.5961 (multiplicity 8)  1 Y 3.09, 3 Na 3.18-3.43

Properties
excess energy over the best structure of this formula in the dataset	0.0000	eV per atom
raw formation energy	-10.3	eV per formula unit

Here is a relaxed La2PmTmTe5 crystal from the Alexandria database. Energies are from PBE.

a = 5.4630 Å, b = 5.4630 Å, c = 11.7036 Å
α = 90.00°, β = 90.00°, γ = 90.00°
Closest atoms and distances in Å follow each position.
Space group P4/mmm (No. 123)
Symmetry-distinct sites (fractional):
La  0.0000  0.0000  0.1726 (multiplicity 2)  4 Te 3.40
Pm  0.5000  0.5000  0.5000 (multiplicity 1)  2 Te 2.92
Tm  0.5000  0.5000  0.0000 (multiplicity 1)  6 Te 2.73-2.93
Te  0.0000  0.0000  0.5000 (multiplicity 1)  2 La 3.83, 4 Pm 3.86
Te  0.0000  0.5000  0.0000 (multiplicity 2)  2 Tm 2.73
Te  0.5000  0.5000  0.2502 (multiplicity 2)  1 Pm 2.92, 1 Tm 2.93

Properties
raw formation energy	-9.0	eV per formula unit

Here is a relaxed Ni2Ag3P4 crystal from the Alexandria database. Energies are from PBE.

a = 3.0804 Å, b = 3.0804 Å, c = 34.8774 Å
α = 90.00°, β = 90.00°, γ = 120.00°
Closest atoms and distances in Å follow each position.
Space group P6_3/mmc (No. 194)
Symmetry-distinct sites (fractional):
Ni  0.3333  0.6667  0.1403 (multiplicity 4)  6 P 2.25-2.34
Ag  0.3333  0.6667  0.5331 (multiplicity 4)  3 P 2.84, 9 Ag 2.92-3.08
Ag  0.3333  0.6667  0.7500 (multiplicity 2)  2 P 2.44
P  0.0000  0.0000  0.0965 (multiplicity 4)  3 Ni 2.34
P  0.3333  0.6667  0.6799 (multiplicity 4)  3 Ni 2.25, 1 Ag 2.44

Properties
calculated formation energy	0.5	eV per formula unit

Here is a relaxed VFeAg3 crystal from the Alexandria database. Energies are from PBE.

a = 4.8854 Å, b = 4.8854 Å, c = 4.8854 Å
α = 90.00°, β = 90.00°, γ = 90.00°
Closest atoms and distances in Å follow each position.
Space group Pm-3m (No. 221)
Symmetry-distinct sites (fractional):
V  0.0000  0.0000  0.0000 (multiplicity 1)  6 Ag 2.44
Fe  0.5000  0.5000  0.5000 (multiplicity 1)  12 Ag 3.45
Ag  0.0000  0.0000  0.5000 (multiplicity 3)  2 V 2.44

Properties
calculated formation energy	7.9	eV per formula unit
excess energy over the best structure of this formula in the dataset	0.3674	eV per atom

Here is a relaxed K3LiZn2F8 crystal from the Alexandria database. Energies are from PBE.

a = 5.8442 Å, b = 5.8442 Å, c = 7.5688 Å
α = 90.00°, β = 90.00°, γ = 120.00°
Closest atoms and distances in Å follow each position.
Space group P-3m1 (No. 164)
Symmetry-distinct sites (fractional):
K  0.0000  0.0000  0.0000 (multiplicity 1)  6 F 2.98
K  0.3333  0.6667  0.6316 (multiplicity 2)  1 F 2.50
Li  0.0000  0.0000  0.5000 (multiplicity 1)  6 F 2.10
Zn  0.3333  0.6667  0.2103 (multiplicity 2)  4 F 1.88-1.94
F  0.1628  0.3257  0.3276 (multiplicity 6)  1 Zn 1.94, 1 Li 2.10
F  0.3333  0.6667  0.9624 (multiplicity 2)  1 Zn 1.88

Properties
raw formation energy	-36.3	eV per formula unit

Here is a relaxed Ac2DyHg8 crystal from the Alexandria database. Energies are from PBE.

a = 5.3823 Å, b = 8.0085 Å, c = 14.3804 Å
α = 90.00°, β = 90.00°, γ = 90.00°
Closest atoms and distances in Å follow each position.
Space group Immm (No. 71)
Symmetry-distinct sites (fractional):
Ac  0.0000  0.0000  0.2072 (multiplicity 4)  10 Hg 3.32-3.44
Dy  0.0000  0.0000  0.5000 (multiplicity 2)  8 Hg 3.05-3.40
Hg  0.0000  0.2154  0.0000 (multiplicity 4)  7 Hg 3.08-3.45, 2 Ac 3.44
Hg  0.0000  0.3039  0.3721 (multiplicity 8)  1 Dy 3.05, 3 Hg 3.14-3.26, 3 Ac 3.32-3.40
Hg  0.0000  0.5000  0.1444 (multiplicity 4)  2 Hg 3.08, 2 Dy 3.40, 2 Ac 3.43

Properties
calculated formation energy	-3.8	eV per formula unit

Here is a relaxed Tb3CrGa12 crystal from the Alexandria database. Energies are from PBE.

a = 4.2512 Å, b = 4.2512 Å, c = 16.5594 Å
α = 90.00°, β = 90.00°, γ = 90.00°
Closest atoms and distances in Å follow each position.
Space group P4/mmm (No. 123)
Symmetry-distinct sites (fractional):
Tb  0.0000  0.0000  0.0000 (multiplicity 1)  12 Ga 3.01-3.03
Tb  0.0000  0.0000  0.2635 (multiplicity 2)  12 Ga 3.01-3.06
Cr  0.0000  0.0000  0.5000 (multiplicity 1)  12 Ga 2.76-3.01
Ga  0.0000  0.5000  0.1307 (multiplicity 4)  8 Ga 2.96-3.03, 4 Tb 3.03-3.06
Ga  0.0000  0.5000  0.3934 (multiplicity 4)  2 Cr 2.76, 6 Ga 2.76-3.01, 2 Tb 3.02
Ga  0.5000  0.5000  0.0000 (multiplicity 1)  4 Tb 3.01, 8 Ga 3.03
Ga  0.5000  0.5000  0.2550 (multiplicity 2)  8 Ga 2.96-3.13, 4 Tb 3.01
Ga  0.5000  0.5000  0.5000 (multiplicity 1)  8 Ga 2.76, 4 Cr 3.01

Properties
calculated formation energy	-6.2	eV per formula unit

Here is a relaxed PuMgCdAg crystal from the Alexandria database. Energies are from PBE.

a = 3.1288 Å, b = 3.1288 Å, c = 8.8864 Å
α = 90.00°, β = 90.00°, γ = 90.00°
Closest atoms and distances in Å follow each position.
Space group P4mm (No. 99)
Symmetry-distinct sites (fractional):
Pu  0.0000  0.0000  0.0000 (multiplicity 1)  4 Pu 3.13, 4 Ag 3.24, 4 Cd 3.36
Mg  0.0000  0.0000  0.4695 (multiplicity 1)  4 Ag 2.85, 4 Cd 3.11, 4 Mg 3.13
Cd  0.5000  0.5000  0.7161 (multiplicity 1)  4 Mg 3.11, 4 Cd 3.13, 4 Pu 3.36
Ag  0.5000  0.5000  0.2666 (multiplicity 1)  4 Mg 2.85, 4 Ag 3.13

Properties
calculated formation energy	-0.3	eV per formula unit
excess energy over the best structure of this formula in the dataset	0.0000	eV per atom

Here is a relaxed Y3HPb crystal from the Alexandria database. Energies are from PBE.

a = 6.5489 Å, b = 6.5510 Å, c = 6.6992 Å
α = 95.28°, β = 95.25°, γ = 119.57°
Closest atoms and distances in Å follow each position.
Space group P1 (No. 1)
Symmetry-distinct sites (fractional):
Y  0.0000  0.0000  0.0000 (multiplicity 1)  1 H 2.19
Y  0.0065  0.4746  0.8132 (multiplicity 1)  1 H 2.17
Y  0.0651  0.9343  0.5000 (multiplicity 1)  1 H 2.19
Y  0.5195  0.5320  0.6668 (multiplicity 1)  2 H 2.17
Y  0.5390  0.9398  0.3124 (multiplicity 1)  1 H 2.17
Y  0.5980  0.4538  0.1668 (multiplicity 1)  2 H 2.17
H  0.6769  0.7234  0.4232 (multiplicity 1)  4 Y 2.17-2.19
H  0.7893  0.6118  0.9233 (multiplicity 1)  4 Y 2.17-2.19
Pb  0.0757  0.4199  0.3283 (multiplicity 1)  9 Y 3.16-3.51, 1 H 3.38
Pb  0.4862  0.0106  0.8275 (multiplicity 1)  9 Y 3.16-3.51, 1 H 3.38

Properties
excess energy over the best structure of this formula in the dataset	0.0133	eV per atom

Here is a relaxed CaFeAgP crystal from the Alexandria database. Energies are from PBE.

a = 3.8228 Å, b = 3.8228 Å, c = 10.2852 Å
α = 90.00°, β = 90.00°, γ = 90.00°
Closest atoms and distances in Å follow each position.
Space group P4/nmm (No. 129, origin choice 2)
Symmetry-distinct sites (fractional):
Ca  0.2500  0.2500  0.2400 (multiplicity 2)  4 P 3.02, 4 Fe 3.12, 4 Ag 3.29
Fe  0.2500  0.7500  0.0000 (multiplicity 2)  4 P 2.22
Ag  0.2500  0.7500  0.5000 (multiplicity 2)  4 Ag 2.70
P  0.2500  0.2500  0.8909 (multiplicity 2)  4 Fe 2.22

Properties
calculated formation energy	-2.3	eV per formula unit